# KCd5, optimized geometry, DFT PBEsol
data_KCd5
_chemical_formula_sum 'K1 Cd5'
_space_group_name_H-M_alt 'P 6/m m m'
_space_group_IT_number 191
_space_group_name_Hall '-P 6 2'
_cell_length_a 6.0671
_cell_length_b 6.0671
_cell_length_c 4.7207
_cell_angle_alpha 90.00
_cell_angle_beta 90.00
_cell_angle_gamma 120.00
loop_
_atom_site_label
_atom_site_fract_x
_atom_site_fract_y
_atom_site_fract_z
_atom_site_occupancy
K1 0.0000 0.0000 0.0000 1
Cd1 0.0000 0.5000 0.5000 1
Cd2 0.3333 0.6667 0.0000 1
# * energy relative to the lowest polymorph listed for this composition: 0 meV/atom
# * mass density: 6.63 g/cm3
# * DOS(E_F): 2.25 states/eV per cell
# * formation energy: -0.0590 eV per atom
# * energy: -7.5 eV for the cell shown